{
  "formula": "InTeO2F",
  "functional": "PBE",
  "state": "optimized geometry",
  "energy_ev_per_cell": -21.62,
  "m_tot_mub_per_cell": 0.00,
  "mass_density_g_cm3": 6.34,
  "space_group": "P4/mmm",
  "cell": [[4.287, 0.000, 0.000], [0.000, 4.287, 0.000], [0.000, 0.000, 4.182]],
  "species": ["F", "In", "Te", "O", "O"],
  "fractional_positions": [[0.000, 0.000, 0.500], [0.000, 0.000, 0.000], [0.500, 0.500, 0.500], [0.500, 0.000, 0.000], [0.000, 0.500, 0.000]]
}



{
  "formula": "TiInOF2",
  "functional": "PBE",
  "state": "optimized geometry",
  "energy_ev_per_cell": -30.88,
  "m_tot_mub_per_cell": 1.00,
  "mass_density_g_cm3": 4.58,
  "space_group": "P4/mmm",
  "cell": [[-4.462, -1.020, -0.330], [0.481, -3.168, 3.286], [-0.778, 2.566, 2.588]],
  "species": ["F", "In", "O", "Ti", "F"],
  "fractional_positions": [[0.000, 0.500, 0.000], [0.500, 0.500, 0.500], [0.000, 0.000, 0.500], [0.000, 0.000, 0.000], [0.500, 0.000, 0.000]]
}



{
  "formula": "TiInOF2",
  "functional": "PBE",
  "state": "optimized geometry",
  "energy_ev_per_cell": -25.56,
  "m_tot_mub_per_cell": 2.62,
  "mass_density_g_cm3": 4.43,
  "space_group": "P4/mmm",
  "cell": [[4.387, 0.000, 0.000], [0.000, 4.387, 0.000], [0.000, 0.000, 4.215]],
  "species": ["Ti", "O", "F", "In", "F"],
  "fractional_positions": [[0.500, 0.500, 0.500], [0.000, 0.000, 0.500], [0.500, 0.000, 0.000], [0.000, 0.000, 0.000], [0.000, 0.500, 0.000]]
}



{
  "formula": "TiInO2F",
  "functional": "PBE",
  "state": "optimized geometry",
  "energy_ev_per_cell": -33.57,
  "m_tot_mub_per_cell": 0.00,
  "mass_density_g_cm3": 5.32,
  "space_group": "P4/mmm",
  "cell": [[-1.089, -2.432, 2.945], [1.613, -3.069, -1.938], [3.685, 0.707, 1.946]],
  "species": ["O", "O", "Ti", "In", "F"],
  "fractional_positions": [[0.500, 0.000, 0.000], [0.000, 0.500, 0.000], [0.000, 0.000, 0.000], [0.500, 0.500, 0.500], [0.000, 0.000, 0.500]]
}



{
  "formula": "TiInO2F",
  "functional": "PBE",
  "state": "optimized geometry",
  "energy_ev_per_cell": -28.30,
  "m_tot_mub_per_cell": 1.99,
  "mass_density_g_cm3": 4.92,
  "space_group": "P4/mmm",
  "cell": [[-3.819, -1.077, 1.371], [0.769, -4.003, -1.001], [1.527, -0.644, 3.746]],
  "species": ["Ti", "O", "In", "F", "O"],
  "fractional_positions": [[0.500, 0.500, 0.500], [0.000, 0.500, 0.000], [0.000, 0.000, 0.000], [0.000, 0.000, 0.500], [0.500, 0.000, 0.000]]
}



{
  "formula": "TlInO2F",
  "functional": "PBE",
  "state": "optimized geometry",
  "energy_ev_per_cell": -22.90,
  "m_tot_mub_per_cell": 0.97,
  "mass_density_g_cm3": 7.81,
  "space_group": "P4/mmm",
  "cell": [[4.265, 0.000, 0.000], [0.000, 4.265, 0.000], [0.000, 0.000, 4.330]],
  "species": ["O", "F", "O", "In", "Tl"],
  "fractional_positions": [[0.000, 0.500, 0.000], [0.000, 0.000, 0.500], [0.500, 0.000, 0.000], [0.000, 0.000, 0.000], [0.500, 0.500, 0.500]]
}



{
  "formula": "TlInOF2",
  "functional": "PBE",
  "state": "optimized geometry",
  "energy_ev_per_cell": -22.84,
  "m_tot_mub_per_cell": 0.00,
  "mass_density_g_cm3": 7.55,
  "space_group": "P4/mmm",
  "cell": [[-1.199, 4.104, -1.395], [1.287, -1.045, -4.181], [-3.735, -1.366, -0.809]],
  "species": ["In", "O", "F", "Tl", "F"],
  "fractional_positions": [[0.000, 0.000, 0.000], [0.000, 0.000, 0.500], [0.500, 0.000, 0.000], [0.500, 0.500, 0.500], [0.000, 0.500, 0.000]]
}



{
  "formula": "TlInO2F",
  "functional": "PBE",
  "state": "optimized geometry",
  "energy_ev_per_cell": -20.25,
  "m_tot_mub_per_cell": 0.65,
  "mass_density_g_cm3": 7.34,
  "space_group": "P4/mmm",
  "cell": [[4.316, 0.000, 0.000], [0.000, 4.316, 0.000], [0.000, 0.000, 4.495]],
  "species": ["Tl", "In", "O", "F", "O"],
  "fractional_positions": [[0.000, 0.000, 0.000], [0.500, 0.500, 0.500], [0.000, 0.500, 0.000], [0.000, 0.000, 0.500], [0.500, 0.000, 0.000]]
}